Computed, not measured: crystalline AcYErSn at its relaxed geometry at the PBE level of DFT.

```
AcYErSn
1.0
5.543 0.000 0.000
2.771 4.800 0.000
2.771 1.600 4.526
Er Y Ac Sn
1 1 1 1
direct
0.250 0.250 0.250 Er
0.750 0.750 0.750 Y
0.500 0.500 0.500 Ac
0.000 0.000 0.000 Sn
```

Properties
* formation energy: -0.154 eV per atom
* crystal system: cubic
* energy: -0.181 hartree per atom
* space group: F-43m, No. 216
* density: 8.3 g/cm3